(1)
## BeCdRh2 (GGA-PBEsol)

Data for BeCdRh2 after structural relaxation.

a b c (Å): 2.9000 4.2444 4.5009
angles (deg): 90.00 90.00 90.00
Closest atoms and distances in Å follow each position.
Element x y z (fractional)
Be 0.0000 0.0000 0.0000  4 Rh 2.57, 4 Cd 2.68
Cd 0.5000 0.0000 0.5000  4 Rh 2.57, 4 Be 2.68
Rh 0.0000 0.5000 0.5000  4 Cd 2.57, 4 Rh 2.68
Rh 0.5000 0.5000 0.0000  4 Be 2.57, 4 Rh 2.68

Properties
ΔH_f (0 K) = 40 kJ/mol of formula units
E = -5.2656 eV/atom


(2)
## Be2CdRh (GGA-PBEsol)

Data for Be2CdRh after structural relaxation.

a b c (Å): 2.8788 2.8788 5.9499
angles (deg): 90.00 90.00 90.00
Closest atoms and distances in Å follow each position.
Element x y z (fractional)
Be 0.0000 0.0000 0.0000  4 Rh 2.29, 4 Be 2.36
Be 0.5000 0.5000 0.2002  1 Rh 2.23, 4 Be 2.36
Cd 0.0000 0.0000 0.4868  5 Be 2.66-2.90, 4 Rh 2.86, 4 Cd 2.88
Rh 0.5000 0.5000 0.8250  5 Be 2.23-2.29

Properties
ΔH_f (0 K) = -48 kJ/mol of formula units
E = -4.4578 eV/atom


(3)
## BeCdRh2 (GGA-PBEsol)

Data for BeCdRh2 after structural relaxation.

a b c (Å): 4.6367 4.6367 4.6367
angles (deg): 131.31 131.31 71.31
Closest atoms and distances in Å follow each position.
Element x y z (fractional)
Be 0.0000 0.0000 0.0000  4 Cd 2.68, 8 Rh 2.68-2.70
Cd 0.7500 0.2500 0.5000  4 Be 2.68, 8 Rh 2.68-2.70
Rh 0.2500 0.7500 0.5000  4 Be 2.68, 4 Rh 2.68, 4 Cd 2.70
Rh 0.5000 0.5000 0.0000  4 Cd 2.68, 4 Rh 2.68, 4 Be 2.70

Properties
ΔH_f (0 K) = 28 kJ/mol of formula units
E = -5.2966 eV/atom


(4)
## Be2CdRh (GGA-PBEsol)

Data for Be2CdRh after structural relaxation.

a b c (Å): 8.2834 8.2834 8.2834
angles (deg): 153.15 153.15 38.33
Closest atoms and distances in Å follow each position.
Element x y z (fractional)
Be 0.3750 0.2487 0.3737  2 Be 2.15, 2 Rh 2.23
Be 0.7513 0.1250 0.1263  2 Be 2.15, 2 Rh 2.23
Be 0.8750 0.0013 0.6263  2 Be 2.15, 2 Rh 2.23
Be 0.9987 0.6250 0.8737  2 Be 2.15, 2 Rh 2.23
Cd 0.2500 0.7500 0.5000  4 Be 2.62, 4 Rh 2.72
Cd 0.5000 0.5000 0.0000  4 Be 2.62, 4 Rh 2.72
Rh 0.0000 0.0000 0.0000  4 Be 2.23
Rh 0.7500 0.2500 0.5000  4 Be 2.23

Properties
ΔH_f (0 K) = 108 kJ/mol of formula units
E = -4.0530 eV/atom


(5)
## BeCdRh2 (GGA-PBEsol)

Data for BeCdRh2 after structural relaxation.

a b c (Å): 2.8406 2.8406 6.5296
angles (deg): 90.00 90.00 90.00
Closest atoms and distances in Å follow each position.
Element x y z (fractional)
Be 0.0000 0.0000 0.0000  8 Rh 2.40
Cd 0.0000 0.0000 0.5000  8 Rh 2.80, 4 Cd 2.84
Rh 0.5000 0.5000 0.2011  4 Be 2.40, 1 Rh 2.63
Rh 0.5000 0.5000 0.7989  4 Be 2.40, 1 Rh 2.63

Properties
ΔH_f (0 K) = -104 kJ/mol of formula units
E = -5.6389 eV/atom


(6)
## BeCdRh2 (GGA-PBEsol)

Data for BeCdRh2 after structural relaxation.

a b c (Å): 2.8048 3.6762 5.4197
angles (deg): 90.00 103.30 90.00
Closest atoms and distances in Å follow each position.
Element x y z (fractional)
Be 0.0000 0.0000 0.0000  4 Rh 2.27
Cd 0.0000 0.0000 0.5000  2 Be 2.71, 8 Rh 2.76-2.79, 2 Cd 2.80
Rh 0.3628 0.5000 0.2095  2 Be 2.27
Rh 0.6372 0.5000 0.7905  2 Be 2.27

Properties
ΔH_f (0 K) = -63 kJ/mol of formula units
E = -5.5311 eV/atom


(7)
## BeCdRh2 (GGA-PBEsol)

Data for BeCdRh2 after structural relaxation.

a b c (Å): 4.9514 4.9514 4.9514
angles (deg): 146.81 125.95 64.91
Closest atoms and distances in Å follow each position.
Element x y z (fractional)
Be 0.0000 0.0000 0.0000  4 Rh 2.27
Cd 0.5000 0.5000 0.0000  4 Be 2.66, 8 Rh 2.79-2.87, 2 Cd 2.83
Rh 0.2127 0.7127 0.5000  2 Be 2.27
Rh 0.7873 0.2873 0.5000  2 Be 2.27

Properties
ΔH_f (0 K) = -60 kJ/mol of formula units
E = -5.5229 eV/atom


(8)
## Be2CdRh (GGA-PBEsol)

Data for Be2CdRh after structural relaxation.

a b c (Å): 4.1958 4.1958 4.6554
angles (deg): 105.25 105.25 41.57
Closest atoms and distances in Å follow each position.
Element x y z (fractional)
Be 0.2280 0.2280 0.1522  2 Be 2.15, 2 Rh 2.28
Be 0.7720 0.7720 0.8478  2 Be 2.15, 2 Rh 2.28
Cd 0.0000 0.0000 0.5000  6 Be 2.73, 4 Rh 2.76, 2 Cd 2.98
Rh 0.5000 0.5000 0.0000  6 Be 2.28-2.43

Properties
ΔH_f (0 K) = -30 kJ/mol of formula units
E = -4.4106 eV/atom